Record 1
The following is a DFT calculation (PBE) of Hf2Zr3N2 after structural relaxation.

Raw total energy, eV/atom: -9.5894
Formation energy from raw total energies, eV per atom: -0.703

a b c (Å): 5.513 5.513 7.989
angles (deg): 112.16 112.16 32.72
Fractional coordinates of all 7 atoms:
Hf: 0.191 0.191 0.299
Hf: 0.809 0.809 0.701
Zr: 0.387 0.387 0.084
Zr: 0.500 0.500 0.500
Zr: 0.613 0.613 0.916
N: 0.198 0.198 0.778
N: 0.802 0.802 0.222

---

Record 2
The following is a DFT calculation (PBE) of Hf5Zr3N2 after structural relaxation.

Raw total energy, eV/atom: -9.8739
Formation energy from raw total energies, eV per atom: -0.668

a b c (Å): 8.499 8.499 8.499
angles (deg): 115.18 81.86 135.73
Fractional coordinates of all 20 atoms:
Hf: 0.003 0.750 0.253
Hf: 0.123 0.248 0.372
Hf: 0.250 0.250 0.000
Hf: 0.377 0.748 0.125
Hf: 0.497 0.750 0.747
Hf: 0.503 0.250 0.253
Hf: 0.623 0.252 0.875
Hf: 0.750 0.750 0.000
Hf: 0.877 0.752 0.628
Hf: 0.997 0.250 0.747
Zr: 0.123 0.752 0.876
Zr: 0.250 0.750 0.500
Zr: 0.377 0.252 0.629
Zr: 0.623 0.748 0.371
Zr: 0.750 0.250 0.500
Zr: 0.877 0.248 0.124
N: 0.129 0.496 0.625
N: 0.371 0.996 0.367
N: 0.629 0.004 0.633
N: 0.871 0.504 0.375

---

Record 3
The following is a DFT calculation (PBE) of Hf2ZrN after structural relaxation.

Raw total energy, eV/atom: -10.1444
Formation energy from raw total energies, eV per atom: -0.949

a b c (Å): 5.173 5.173 3.214
angles (deg): 90.00 90.00 123.88
Fractional coordinates of all 4 atoms:
Hf: 0.161 0.839 0.000
Hf: 0.839 0.161 0.000
Zr: 0.500 0.500 0.500
N: 0.000 0.000 0.500

---

Record 4
The following is a DFT calculation (PBE) of HfZrN2 after structural relaxation.

Raw total energy, eV/atom: -10.2119
Formation energy from raw total energies, eV per atom: -1.424

a b c (Å): 6.058 6.058 6.058
angles (deg): 131.73 131.73 70.66
Fractional coordinates of all 8 atoms:
Hf: 0.000 0.000 0.000
Hf: 0.750 0.250 0.500
Zr: 0.250 0.750 0.500
Zr: 0.500 0.500 0.000
N: 0.116 0.625 0.991
N: 0.375 0.366 0.491
N: 0.634 0.125 0.009
N: 0.875 0.884 0.509

---

Record 5
The following is a DFT calculation (PBE) of HfZr2N2 after structural relaxation.

Raw total energy, eV/atom: -9.7669
Formation energy from raw total energies, eV per atom: -1.027

a b c (Å): 8.542 8.542 5.552
angles (deg): 90.00 90.00 159.01
Fractional coordinates of all 10 atoms:
Hf: 0.164 0.836 0.500
Hf: 0.836 0.164 0.000
Zr: 0.337 0.663 0.480
Zr: 0.495 0.505 0.151
Zr: 0.505 0.495 0.651
Zr: 0.663 0.337 0.980
N: 0.073 0.927 0.859
N: 0.252 0.748 0.814
N: 0.748 0.252 0.314
N: 0.927 0.073 0.359

---

Record 6
The following is a DFT calculation (PBE) of HfZr2N after structural relaxation.

Raw total energy, eV/atom: -9.7545
Formation energy from raw total energies, eV per atom: -0.911

a b c (Å): 5.665 5.665 3.360
angles (deg): 107.16 107.16 45.70
Fractional coordinates of all 4 atoms:
Hf: 0.000 0.000 0.000
Zr: 0.344 0.344 0.345
Zr: 0.656 0.656 0.655
N: 0.500 0.500 0.000

---

Record 7
The following is a DFT calculation (PBE) of Hf3Zr5N2 after structural relaxation.

Raw total energy, eV/atom: -9.5926
Formation energy from raw total energies, eV per atom: -0.667

a b c (Å): 8.579 8.579 8.579
angles (deg): 118.25 79.31 135.41
Fractional coordinates of all 20 atoms:
Hf: 0.124 0.745 0.870
Hf: 0.250 0.250 0.000
Hf: 0.376 0.245 0.621
Hf: 0.624 0.755 0.379
Hf: 0.750 0.750 0.000
Hf: 0.876 0.255 0.130
Zr: 0.008 0.250 0.758
Zr: 0.124 0.256 0.380
Zr: 0.250 0.750 0.500
Zr: 0.376 0.756 0.131
Zr: 0.492 0.250 0.242
Zr: 0.508 0.750 0.758
Zr: 0.624 0.244 0.869
Zr: 0.750 0.250 0.500
Zr: 0.876 0.744 0.620
Zr: 0.992 0.750 0.242
N: 0.118 0.996 0.114
N: 0.382 0.496 0.877
N: 0.618 0.504 0.123
N: 0.882 0.004 0.886

---

Record 8
The following is a DFT calculation (PBE) of Hf4ZrN5 after structural relaxation.

Raw total energy, eV/atom: -10.7427
Formation energy from raw total energies, eV per atom: -1.744

a b c (Å): 5.574 5.574 5.574
angles (deg): 99.65 99.65 131.66
Fractional coordinates of all 10 atoms:
Hf: 0.102 0.300 0.402
Hf: 0.300 0.898 0.198
Hf: 0.700 0.102 0.802
Hf: 0.898 0.700 0.598
Zr: 0.500 0.500 0.000
N: 0.000 0.000 0.000
N: 0.193 0.602 0.795
N: 0.398 0.193 0.591
N: 0.602 0.807 0.409
N: 0.807 0.398 0.205

---

Record 9
The following is a DFT calculation (PBE) of Hf2ZrN4 after structural relaxation.

Raw total energy, eV/atom: -10.4409
Formation energy from raw total energies, eV per atom: -1.619

a b c (Å): 5.429 5.429 10.469
angles (deg): 90.00 90.00 146.61
Fractional coordinates of all 14 atoms:
Hf: 0.132 0.868 0.573
Hf: 0.132 0.868 0.927
Hf: 0.868 0.132 0.073
Hf: 0.868 0.132 0.427
Zr: 0.384 0.616 0.750
Zr: 0.616 0.384 0.250
N: 0.029 0.971 0.750
N: 0.231 0.769 0.120
N: 0.231 0.769 0.380
N: 0.500 0.500 0.000
N: 0.500 0.500 0.500
N: 0.769 0.231 0.620
N: 0.769 0.231 0.880
N: 0.971 0.029 0.250

---

Record 10
The following is a DFT calculation (PBE) of Hf3ZrN after structural relaxation.

Energy relative to the lowest polymorph listed for this composition, eV per atom: 3.024
Raw total energy, eV/atom: -7.0639
Formation energy from raw total energies, eV per atom: 2.283

a b c (Å): 5.069 5.069 5.069
angles (deg): 90.00 90.00 90.00
Fractional coordinates of all 5 atoms:
Hf: 0.000 0.000 0.500
Hf: 0.000 0.500 0.000
Hf: 0.500 0.000 0.000
Zr: 0.000 0.000 0.000
N: 0.500 0.500 0.500

---

Record 11
The following is a DFT calculation (PBE) of Hf3Zr2N2 after structural relaxation.

Raw total energy, eV/atom: -9.8447
Formation energy from raw total energies, eV per atom: -0.758

a b c (Å): 5.848 5.848 7.956
angles (deg): 112.78 112.78 30.82
Fractional coordinates of all 7 atoms:
Hf: 0.000 0.000 0.000
Hf: 0.105 0.105 0.413
Hf: 0.895 0.895 0.587
Zr: 0.325 0.325 0.195
Zr: 0.675 0.675 0.805
N: 0.473 0.473 0.789
N: 0.527 0.527 0.211

---

Record 12
The following is a DFT calculation (PBE) of Hf2ZrN2 after structural relaxation.

Energy relative to the lowest polymorph listed for this composition, eV per atom: 0.090
Raw total energy, eV/atom: -9.9210
Formation energy from raw total energies, eV per atom: -0.900

a b c (Å): 4.256 4.256 6.153
angles (deg): 103.83 103.83 43.21
Fractional coordinates of all 5 atoms:
Hf: 0.171 0.171 0.168
Hf: 0.829 0.829 0.832
Zr: 0.500 0.500 0.500
N: 0.108 0.108 0.801
N: 0.892 0.892 0.199

---

Record 13
The following is a DFT calculation (PBE) of Hf2Zr6N after structural relaxation.

Raw total energy, eV/atom: -9.0397
Formation energy from raw total energies, eV per atom: -0.204

a b c (Å): 7.302 7.302 7.331
angles (deg): 92.89 92.89 90.96
Fractional coordinates of all 18 atoms:
Hf: 0.092 0.146 0.128
Hf: 0.146 0.092 0.628
Hf: 0.854 0.908 0.372
Hf: 0.908 0.854 0.872
Zr: 0.101 0.608 0.162
Zr: 0.132 0.652 0.596
Zr: 0.347 0.373 0.889
Zr: 0.348 0.868 0.904
Zr: 0.373 0.347 0.389
Zr: 0.392 0.899 0.338
Zr: 0.608 0.101 0.662
Zr: 0.627 0.653 0.611
Zr: 0.652 0.132 0.096
Zr: 0.653 0.627 0.111
Zr: 0.868 0.348 0.404
Zr: 0.899 0.392 0.838
N: 0.393 0.607 0.750
N: 0.607 0.393 0.250

---

Record 14
The following is a DFT calculation (PBE) of Hf2ZrN after structural relaxation.

Raw total energy, eV/atom: -9.5147
Formation energy from raw total energies, eV per atom: -0.320

a b c (Å): 6.134 6.134 6.134
angles (deg): 116.40 116.40 96.36
Fractional coordinates of all 8 atoms:
Hf: 0.375 0.015 0.140
Hf: 0.765 0.625 0.640
Hf: 0.875 0.235 0.860
Hf: 0.985 0.125 0.360
Zr: 0.250 0.750 0.500
Zr: 0.500 0.500 0.000
N: 0.000 0.000 0.000
N: 0.750 0.250 0.500

---

Record 15
The following is a DFT calculation (PBE) of Hf3Zr5N8 after structural relaxation.

Raw total energy, eV/atom: -10.4133
Formation energy from raw total energies, eV per atom: -1.713

a b c (Å): 6.509 6.509 6.509
angles (deg): 59.65 59.65 59.65
Fractional coordinates of all 16 atoms:
Hf: 0.000 0.500 0.500
Hf: 0.500 0.000 0.500
Hf: 0.500 0.500 0.000
Zr: 0.000 0.000 0.000
Zr: 0.000 0.000 0.500
Zr: 0.000 0.500 0.000
Zr: 0.500 0.000 0.000
Zr: 0.500 0.500 0.500
N: 0.250 0.250 0.740
N: 0.250 0.740 0.250
N: 0.255 0.255 0.255
N: 0.260 0.750 0.750
N: 0.740 0.250 0.250
N: 0.745 0.745 0.745
N: 0.750 0.260 0.750
N: 0.750 0.750 0.260

---

Record 16
The following is a DFT calculation (PBE) of HfZr2N after structural relaxation.

Raw total energy, eV/atom: -9.7646
Formation energy from raw total energies, eV per atom: -0.921

a b c (Å): 3.241 5.222 8.676
angles (deg): 90.00 100.75 90.00
Fractional coordinates of all 8 atoms:
Hf: 0.115 0.000 0.229
Hf: 0.885 0.500 0.771
Zr: 0.222 0.519 0.444
Zr: 0.442 0.000 0.885
Zr: 0.558 0.500 0.115
Zr: 0.778 0.019 0.556
N: 0.334 0.268 0.669
N: 0.666 0.768 0.331

---

Record 17
The following is a DFT calculation (PBE) of Hf3Zr4N8 after structural relaxation.

Raw total energy, eV/atom: -10.3501
Formation energy from raw total energies, eV per atom: -1.640

a b c (Å): 6.442 6.442 6.438
angles (deg): 119.97 119.97 90.01
Fractional coordinates of all 15 atoms:
Hf: 0.000 0.000 0.000
Hf: 0.000 0.500 0.500
Hf: 0.500 0.000 0.500
Zr: 0.000 0.000 0.500
Zr: 0.000 0.500 0.000
Zr: 0.500 0.000 0.000
Zr: 0.500 0.500 0.000
N: 0.239 0.239 0.985
N: 0.240 0.240 0.493
N: 0.243 0.757 0.500
N: 0.246 0.754 0.000
N: 0.754 0.246 0.000
N: 0.757 0.243 0.500
N: 0.760 0.760 0.507
N: 0.761 0.761 0.015

---

Record 18
The following is a DFT calculation (PBE) of Hf3ZrN after structural relaxation.

Energy relative to the lowest polymorph listed for this composition, eV per atom: 0.018
Raw total energy, eV/atom: -10.0702
Formation energy from raw total energies, eV per atom: -0.723

a b c (Å): 4.516 4.516 4.516
angles (deg): 90.00 90.00 90.00
Fractional coordinates of all 5 atoms:
Hf: 0.000 0.000 0.500
Hf: 0.000 0.500 0.000
Hf: 0.500 0.000 0.000
Zr: 0.500 0.500 0.500
N: 0.000 0.000 0.000

---

Record 19
The following is a DFT calculation (PBE) of HfZr5N5 after structural relaxation.

Raw total energy, eV/atom: -10.1633
Formation energy from raw total energies, eV per atom: -1.589

a b c (Å): 5.651 5.651 6.492
angles (deg): 106.97 106.97 48.12
Fractional coordinates of all 11 atoms:
Hf: 0.000 0.000 0.000
Zr: 0.000 0.000 0.500
Zr: 0.325 0.325 0.668
Zr: 0.329 0.329 0.161
Zr: 0.671 0.671 0.839
Zr: 0.675 0.675 0.332
N: 0.162 0.162 0.326
N: 0.163 0.163 0.838
N: 0.500 0.500 0.000
N: 0.837 0.837 0.162
N: 0.838 0.838 0.674

---

Record 20
The following is a DFT calculation (PBE) of Hf12ZrN7 after structural relaxation.

Raw total energy, eV/atom: -10.5453
Formation energy from raw total energies, eV per atom: -1.232

a b c (Å): 7.179 7.179 7.179
angles (deg): 107.27 107.27 107.27
Fractional coordinates of all 20 atoms:
Hf: 0.048 0.117 0.344
Hf: 0.117 0.344 0.048
Hf: 0.189 0.574 0.724
Hf: 0.276 0.811 0.426
Hf: 0.344 0.048 0.117
Hf: 0.426 0.276 0.811
Hf: 0.574 0.724 0.189
Hf: 0.656 0.952 0.883
Hf: 0.724 0.189 0.574
Hf: 0.811 0.426 0.276
Hf: 0.883 0.656 0.952
Hf: 0.952 0.883 0.656
Zr: 0.500 0.500 0.500
N: 0.000 0.000 0.000
N: 0.149 0.459 0.383
N: 0.383 0.149 0.459
N: 0.459 0.383 0.149
N: 0.541 0.617 0.851
N: 0.617 0.851 0.541
N: 0.851 0.541 0.617